Entry 1:
VASP calculation (GGA-PBE) on a geometry-optimized KCaTa structure.

Computed properties:
The calculation puts the formation energy from the elements at 345 kJ/mol of formula units. The uncorrected energy is -3.792 eV/atom. The size of the total moment is 0.00 μB per formula unit. As for the energy above the most stable polymorph in this dataset: 0.8597 eV/atom.

Unit cell a=5.8864 b=5.8864 c=7.9011 alpha=90.00 beta=90.00 gamma=120.00
Space group P-6m2 (No. 187)
Asymmetric unit:
K 0.0000 0.0000 0.0000 x1
K 0.0000 0.0000 0.5000 x1
Ca 0.6667 0.3333 0.2163 x2
Ta 0.3333 0.6667 0.1441 x2



Entry 2:
VASP calculation (GGA-PBE) on a geometry-optimized Y2CoSb2 structure.

Computed properties:
The uncorrected energy is -6.211 eV/atom. The size of the total moment is 0.76 μB per formula unit. The formation energy from raw total energies is -556 meV/atom.

Unit cell a=6.9417 b=6.9417 c=4.8025 alpha=90.00 beta=90.00 gamma=90.00
Space group P4/mbm (No. 127)
Asymmetric unit:
Y 0.1697 0.3303 0.0000 x4
Co 0.0000 0.0000 0.5000 x2
Sb 0.1500 0.6500 0.5000 x4



Entry 3:
VASP calculation (GGA-PBE) on a geometry-optimized PmHoHgRu structure.

Computed properties:
The calculation puts the formation energy from the elements at -164 kJ/mol of formula units. The uncorrected energy is -5.151 eV/atom. The size of the total moment is 0.00 μB per formula unit. As for the energy above the most stable polymorph in this dataset: 0.0000 eV/atom.

Unit cell a=3.5088 b=3.5088 c=7.6249 alpha=90.00 beta=90.00 gamma=90.00
Space group P4mm (No. 99)
Asymmetric unit:
Pm 0.0000 0.0000 0.0000 x1
Ho 0.0000 0.0000 0.5597 x1
Hg 0.5000 0.5000 0.2934 x1
Ru 0.5000 0.5000 0.7700 x1



What is the formula in the first record?
KCaTa



Look up the size of the total moment of the second one.
0.76 μB per formula unit